Entry 1:
Material: TbSmPuHg
Method: DFT, PBE-GGA
State: relaxed

Calculated values
DFT formation energy in eV per formula unit: 0.105
ρ in g/cm3: 11.178
Fermi-level density of states in states/eV/cell: 62.38

The structure in POSCAR format:
```
TbSmPuHg
1.0
7.652 0.000 0.000
0.000 7.652 0.000
0.000 0.000 7.652
Tb Sm Pu Hg
4 4 4 4
direct
0.000 0.000 0.000 Tb
0.000 0.500 0.500 Tb
0.500 0.000 0.500 Tb
0.500 0.500 0.000 Tb
0.000 0.000 0.500 Sm
0.000 0.500 0.000 Sm
0.500 0.000 0.000 Sm
0.500 0.500 0.500 Sm
0.250 0.250 0.750 Pu
0.250 0.750 0.250 Pu
0.750 0.250 0.250 Pu
0.750 0.750 0.750 Pu
0.250 0.250 0.250 Hg
0.250 0.750 0.750 Hg
0.750 0.250 0.750 Hg
0.750 0.750 0.250 Hg
```


Entry 2:
Material: Ac4InAuN
Method: DFT, PBE-GGA
State: relaxed

Calculated values
Formation energy without anion corrections in eV/atom: -0.6189
ρ in g/cm3: 8.893
Fermi-level density of states in states/eV/cell: 12.62

The structure in POSCAR format:
```
Ac4InAuN
1.0
3.719 -8.331 0.000
3.719 8.331 0.000
0.000 0.000 7.437
Ac In Au N
8 2 2 2
direct
0.000 0.500 0.000 Ac
0.000 0.500 0.500 Ac
0.061 0.939 0.750 Ac
0.418 0.582 0.750 Ac
0.500 0.000 0.000 Ac
0.500 0.000 0.500 Ac
0.582 0.418 0.250 Ac
0.939 0.061 0.250 Ac
0.382 0.618 0.250 In
0.618 0.382 0.750 In
0.123 0.877 0.250 Au
0.877 0.123 0.750 Au
0.268 0.732 0.750 N
0.732 0.268 0.250 N
```


Entry 3:
Material: Ce12Ru6Pt
Method: DFT, PBE-GGA
State: relaxed

Calculated values
DFT formation energy in eV per formula unit: -4.437
ρ in g/cm3: 8.027
Fermi-level density of states in states/eV/cell: 53.27

The structure in POSCAR format:
```
Ce12Ru6Pt
1.0
6.063 3.501 4.033
-6.063 3.501 4.033
0.000 -7.001 4.033
Ce Ru Pt
12 6 1
direct
0.058 0.893 0.669 Ce
0.107 0.331 0.942 Ce
0.193 0.564 0.397 Ce
0.331 0.942 0.107 Ce
0.397 0.193 0.564 Ce
0.436 0.603 0.807 Ce
0.564 0.397 0.193 Ce
0.603 0.807 0.436 Ce
0.669 0.058 0.893 Ce
0.807 0.436 0.603 Ce
0.893 0.669 0.058 Ce
0.942 0.107 0.331 Ce
0.132 0.323 0.626 Ru
0.323 0.626 0.132 Ru
0.374 0.868 0.677 Ru
0.626 0.132 0.323 Ru
0.677 0.374 0.868 Ru
0.868 0.677 0.374 Ru
0.000 0.000 0.000 Pt
```


Entry 4:
Material: RbPdF3
Method: DFT, PBE-GGA
State: relaxed

Calculated values
Formation energy without anion corrections in eV/atom: -1.8778
ρ in g/cm3: 3.893

The structure in POSCAR format:
```
RbPdF3
1.0
4.472 0.000 0.000
0.000 6.960 0.000
-2.179 0.000 6.822
Rb Pd F
2 2 6
direct
0.201 0.250 0.403 Rb
0.799 0.750 0.597 Rb
0.500 0.000 0.000 Pd
0.500 0.500 0.000 Pd
0.261 0.250 0.989 F
0.352 0.516 0.709 F
0.352 0.984 0.709 F
0.648 0.016 0.291 F
0.648 0.484 0.291 F
0.739 0.750 0.011 F
```


Entry 5:
Material: MgZnTc2
Method: DFT, PBE-GGA
State: relaxed

Calculated values
DFT formation energy in eV per formula unit: 1.017
ρ in g/cm3: 7.815
Fermi-level density of states in states/eV/cell: 3.60

The structure in POSCAR format:
```
MgZnTc2
1.0
2.644 0.000 0.000
0.000 4.363 0.000
0.000 0.000 5.262
Mg Zn Tc
1 1 2
direct
0.000 0.000 0.000 Mg
0.000 0.000 0.500 Zn
0.500 0.500 0.253 Tc
0.500 0.500 0.747 Tc
```


Entry 6:
Material: V3HgB
Method: DFT, PBE-GGA
State: relaxed

Calculated values
DFT formation energy in eV per formula unit: 0.192
ρ in g/cm3: 8.728
Fermi-level density of states in states/eV/cell: 3.73

The structure in POSCAR format:
```
V3HgB
1.0
4.107 0.000 0.000
0.000 4.107 0.000
0.000 0.000 4.107
V Hg B
3 1 1
direct
0.000 0.000 0.500 V
0.000 0.500 0.000 V
0.500 0.000 0.000 V
0.500 0.500 0.500 Hg
0.000 0.000 0.000 B
```